{
  "formula": "LiLa4Co",
  "functional": "PBE",
  "state": "relaxed",
  "cell": [[0.000, 4.569, 4.569], [4.569, 0.000, 4.569], [4.569, 4.569, 0.000]],
  "species": ["Li", "La", "La", "La", "La", "Co"],
  "frac_coords": [[0.750, 0.750, 0.750], [0.881, 0.373, 0.373], [0.373, 0.373, 0.881], [0.373, 0.881, 0.373], [0.373, 0.373, 0.373], [0.000, 0.000, 0.000]],
  "sg": "No. 216",
  "formation_energy_mev_per_atom": 744,
  "relative_energy_mev_per_atom": 805
}

***

{
  "formula": "LiLaCo2",
  "functional": "PBE",
  "state": "relaxed",
  "cell": [[5.033, 0.017, 0.049], [-2.384, 4.475, -0.024], [0.265, 0.975, 2.792]],
  "species": ["Co", "Co", "La", "Li"],
  "frac_coords": [[0.000, 0.000, 0.000], [0.500, 0.000, 0.500], [0.000, 0.500, 0.500], [0.500, 0.500, 0.000]],
  "sg": "No. 12",
  "formation_energy_mev_per_atom": 381,
  "relative_energy_mev_per_atom": 326
}

***

{
  "formula": "Li2LaCo9",
  "functional": "PBE",
  "state": "relaxed",
  "cell": [[-0.846, -0.308, -4.737], [5.103, -6.311, -0.501], [-6.168, -5.101, 1.433]],
  "species": ["Li", "Li", "Li", "Li", "La", "La", "Co", "Co", "Co", "Co", "Co", "Co", "Co", "Co", "Co", "Co", "Co", "Co", "Co", "Co", "Co", "Co", "Co", "Co"],
  "frac_coords": [[0.000, 0.613, 0.113], [0.000, 0.387, 0.887], [0.000, 0.113, 0.387], [0.000, 0.887, 0.613], [0.000, 0.500, 0.500], [0.000, 0.000, 0.000], [0.500, 0.500, 0.000], [0.500, 0.000, 0.500], [0.500, 0.717, 0.569], [0.500, 0.283, 0.431], [0.500, 0.217, 0.931], [0.500, 0.783, 0.069], [0.500, 0.431, 0.717], [0.500, 0.569, 0.283], [0.500, 0.069, 0.217], [0.500, 0.931, 0.783], [0.759, 0.821, 0.321], [0.759, 0.179, 0.679], [0.759, 0.321, 0.179], [0.759, 0.679, 0.821], [0.241, 0.179, 0.679], [0.241, 0.821, 0.321], [0.241, 0.679, 0.821], [0.241, 0.321, 0.179]],
  "sg": "No. 127",
  "formation_energy_mev_per_atom": 36
}

***

{
  "formula": "LiLaCo2",
  "functional": "PBE",
  "state": "relaxed",
  "cell": [[3.364, 0.000, 0.000], [0.000, 3.360, 0.000], [0.000, 0.000, 6.165]],
  "species": ["Co", "Co", "La", "Li"],
  "frac_coords": [[0.000, 0.000, 0.931], [0.000, 0.000, 0.569], [0.500, 0.500, 0.250], [0.500, 0.500, 0.750]],
  "sg": "No. 123",
  "formation_energy_mev_per_atom": 288,
  "relative_energy_mev_per_atom": 233
}

***

{
  "formula": "LiLaCo2",
  "functional": "PBE",
  "state": "relaxed",
  "cell": [[4.552, 0.000, 0.000], [2.276, 3.942, 0.000], [2.276, 1.314, 3.717]],
  "species": ["Co", "Co", "La", "Li"],
  "frac_coords": [[0.000, 0.000, 0.000], [0.250, 0.250, 0.250], [0.500, 0.500, 0.500], [0.750, 0.750, 0.750]],
  "sg": "No. 216",
  "formation_energy_mev_per_atom": 299,
  "relative_energy_mev_per_atom": 243
}

***

{
  "formula": "Li2La2Co",
  "functional": "PBE",
  "state": "relaxed",
  "cell": [[-3.177, 0.088, -6.008], [-4.659, -4.328, 2.400], [-2.695, 3.722, 1.479]],
  "species": ["Li", "Li", "Li", "Li", "Co", "Co", "La", "La", "La", "La"],
  "frac_coords": [[0.367, 0.867, 0.000], [0.867, 0.633, 0.000], [0.633, 0.133, 0.000], [0.133, 0.367, 0.000], [0.000, 0.000, 0.000], [0.500, 0.500, 0.000], [0.191, 0.691, 0.500], [0.691, 0.809, 0.500], [0.809, 0.309, 0.500], [0.309, 0.191, 0.500]],
  "sg": "No. 127",
  "formation_energy_mev_per_atom": 332
}